No. 1
CuHg2As | PBE | optimized geometry

Cell: 3.0271 5.0932 5.2917 Å, 90.00 90.00 90.00°
With the nearest neighbours (Å) after each atom.
Positions (direct):
1 Cu 0.0000 0.0000 0.0000  4 Hg 2.96, 2 Cu 3.03, 4 As 3.05
2 Hg 0.0000 0.5000 0.5000  4 As 2.96, 6 Hg 3.03-3.05
3 Hg 0.5000 0.5000 0.0000  4 Cu 2.96, 6 Hg 3.03-3.05
4 As 0.5000 0.0000 0.5000  4 Hg 2.96, 2 As 3.03, 4 Cu 3.05

Its size of the total moment is 0.00 μB per cell. As for the formation energy: 374 meV per atom. The calculation puts the density of states at the Fermi level at 0.3588 states/eV/atom.

No. 2
TbScPb | PBE | optimized geometry

Cell: 8.0122 8.0122 8.0122 Å, 39.03 39.03 39.03°
With the nearest neighbours (Å) after each atom.
Positions (direct):
1 Tb 0.0854 0.0854 0.0854  4 Pb 3.12-3.16, 3 Sc 3.38
2 Tb 0.9146 0.9146 0.9146  4 Pb 3.12-3.16, 3 Sc 3.38
3 Sc 0.3569 0.3569 0.3569  1 Pb 2.87
4 Sc 0.6431 0.6431 0.6431  1 Pb 2.87
5 Pb 0.2277 0.2277 0.2277  1 Sc 2.87, 4 Tb 3.12-3.16
6 Pb 0.7723 0.7723 0.7723  1 Sc 2.87, 4 Tb 3.12-3.16

The energy above the most stable polymorph in this dataset is 337 meV per atom. Its size of the total moment is 0.00 μB per cell. As for the formation energy: -119 meV per atom. The calculation puts the density of states at the Fermi level at 0.9675 states/eV/atom.

No. 3
AlSi2Au | PBE | optimized geometry

Cell: 4.9059 4.9059 2.7630 Å, 90.00 90.00 90.00°
With the nearest neighbours (Å) after each atom.
Positions (direct):
1 Al 0.0000 0.0000 0.0000  2 Al 2.76, 8 Si 2.82
2 Si 0.0000 0.5000 0.5000  2 Si 2.76, 4 Al 2.82, 4 Au 2.82
3 Si 0.5000 0.0000 0.5000  2 Si 2.76, 4 Al 2.82, 4 Au 2.82
4 Au 0.5000 0.5000 0.0000  2 Au 2.76, 8 Si 2.82

The formation energy (no corrections) comes out at 262 meV/atom. Its size of the total moment is 0.00 μB per cell. The calculation puts the density of states at the Fermi level at 0.4373 states/eV/atom.

No. 4
Ce2H5 | PBE | optimized geometry

Cell: 6.6408 6.6408 6.6408 Å, 131.84 131.84 70.48°
With the nearest neighbours (Å) after each atom.
Positions (direct):
1 Ce 0.1180 0.3680 0.7500  8 H 2.33-2.37
2 Ce 0.3680 0.1180 0.2500  8 H 2.33-2.37
3 Ce 0.6320 0.8820 0.7500  8 H 2.33-2.37
4 Ce 0.8820 0.6320 0.2500  8 H 2.33-2.37
5 H 0.0000 0.2709 0.2709  4 Ce 2.33-2.37, 3 H 2.41-2.48
6 H 0.0000 0.7291 0.7291  4 Ce 2.33-2.37, 3 H 2.41-2.48
7 H 0.1250 0.8750 0.2500  8 H 2.41, 2 Ce 2.64
8 H 0.2709 0.0000 0.7709  4 Ce 2.33-2.37, 3 H 2.41-2.48
9 H 0.2709 0.5000 0.2709  4 Ce 2.33-2.37, 3 H 2.41-2.48
10 H 0.5000 0.2709 0.7709  4 Ce 2.33-2.37, 3 H 2.41-2.48
11 H 0.5000 0.7291 0.2291  4 Ce 2.33-2.37, 3 H 2.41-2.48
12 H 0.7291 0.0000 0.2291  4 Ce 2.33-2.37, 3 H 2.41-2.48
13 H 0.7291 0.5000 0.7291  4 Ce 2.33-2.37, 3 H 2.41-2.48
14 H 0.8750 0.1250 0.7500  8 H 2.41, 2 Ce 2.64

The energy above the most stable polymorph in this dataset is 0 meV per atom. Its size of the total moment is 3.58 μB per cell. The calculation puts the density of states at the Fermi level at 1.8274 states/eV/atom.

No. 5
BaNa2Os2O7 | PBE | optimized geometry

Cell: 10.3916 10.3916 10.3916 Å, 157.91 157.91 31.44°
With the nearest neighbours (Å) after each atom.
Positions (direct):
1 Ba 0.0000 0.0000 0.0000  12 O 2.82
2 Na 0.2500 0.7500 0.5000  4 O 2.24
3 Na 0.7500 0.2500 0.5000  4 O 2.24
4 Os 0.3958 0.3958 0.0000  6 O 1.90-2.08
5 Os 0.6042 0.6042 0.0000  6 O 1.90-2.08
6 O 0.1000 0.6000 0.5000  2 Os 1.99
7 O 0.3010 0.3010 0.0000  1 Os 1.90
8 O 0.4000 0.9000 0.5000  2 Os 1.99
9 O 0.5000 0.5000 0.0000  2 Os 2.08
10 O 0.6000 0.1000 0.5000  2 Os 1.99
11 O 0.6990 0.6990 0.0000  1 Os 1.90
12 O 0.9000 0.4000 0.5000  2 Os 1.99

The formation energy (no corrections) comes out at -1413 meV/atom. Its size of the total moment is 2.32 μB per cell. The calculation puts the density of states at the Fermi level at 0.4351 states/eV/atom.

No. 6
RbBiF6 | PBE | optimized geometry

Cell: 6.3900 6.3900 6.3900 Å, 54.16 54.16 54.16°
With the nearest neighbours (Å) after each atom.
Positions (direct):
1 Rb 0.0000 0.0000 0.0000  12 F 3.28
2 Bi 0.5000 0.5000 0.5000  6 F 2.05
3 F 0.0978 0.5904 0.5904  1 Bi 2.05
4 F 0.4096 0.4096 0.9022  1 Bi 2.05
5 F 0.4096 0.9022 0.4096  1 Bi 2.05
6 F 0.5904 0.0978 0.5904  1 Bi 2.05
7 F 0.5904 0.5904 0.0978  1 Bi 2.05
8 F 0.9022 0.4096 0.4096  1 Bi 2.05

The energy above the most stable polymorph in this dataset is 31 meV per atom. The formation energy (no corrections) comes out at -2183 meV/atom. Its size of the total moment is 0.00 μB per cell. The calculation puts the density of states at the Fermi level at 0.0000 states/eV/atom.